[1]
Y3MgIr8 | PBE | optimized geometry

Cell: 9.2430 9.2430 9.2430 Å, 33.53 33.53 33.53°
Closest atoms and distances in Å follow each position.
Element x y z (fractional)
Y: 0.0000 0.0000 0.0000  12 Ir 3.13-3.15, 4 Y 3.30-3.33
Y: 0.1272 0.1272 0.1272  12 Ir 3.05-3.16, 3 Mg 3.23, 1 Y 3.33
Y: 0.6209 0.6209 0.6209  12 Ir 3.09-3.22, 1 Mg 3.22, 3 Y 3.30
Mg: 0.4979 0.4979 0.4979  12 Ir 3.08-3.14, 4 Y 3.22-3.23
Ir: 0.0612 0.0612 0.5618  6 Ir 2.65-2.68
Ir: 0.0612 0.5618 0.0612  6 Ir 2.65-2.68
Ir: 0.0631 0.5622 0.5622  6 Ir 2.66-2.68
Ir: 0.3120 0.3120 0.3120  6 Ir 2.68
Ir: 0.5618 0.0612 0.0612  6 Ir 2.65-2.68
Ir: 0.5622 0.0631 0.5622  6 Ir 2.66-2.68
Ir: 0.5622 0.5622 0.0631  6 Ir 2.66-2.68
Ir: 0.8122 0.8122 0.8122  6 Ir 2.65-2.66

[2]
Ca2Sb4S | PBE | optimized geometry

Cell: 5.2492 5.2492 15.9004 Å, 90.00 90.00 90.00°
Closest atoms and distances in Å follow each position.
Element x y z (fractional)
Ca: 0.0000 0.0000 0.1309  5 Sb 3.14-3.35
Ca: 0.0000 0.0000 0.8691  5 Sb 3.14-3.35
Ca: 0.5000 0.5000 0.3691  5 Sb 3.14-3.35
Ca: 0.5000 0.5000 0.6309  5 Sb 3.14-3.35
Sb: 0.0000 0.0000 0.3282  1 S 2.73
Sb: 0.0000 0.0000 0.6718  1 S 2.73
Sb: 0.0000 0.5000 0.0000  2 S 2.62
Sb: 0.0000 0.5000 0.5000  2 S 2.62
Sb: 0.5000 0.0000 0.0000  2 S 2.62
Sb: 0.5000 0.0000 0.5000  2 S 2.62
Sb: 0.5000 0.5000 0.1718  1 S 2.73
Sb: 0.5000 0.5000 0.8282  1 S 2.73
S: 0.0000 0.0000 0.5000  6 Sb 2.62-2.73
S: 0.5000 0.5000 0.0000  6 Sb 2.62-2.73

[3]
BaMn2Ni | PBE | optimized geometry

Summary:
- distance to the lowest polymorph of the same formula (meV/atom) = 366

Cell: 3.1838 5.2802 10.2245 Å, 90.00 90.00 90.00°
Closest atoms and distances in Å follow each position.
Element x y z (fractional)
Ba: 0.0000 0.0000 0.0000  4 Ni 3.08, 2 Ba 3.18, 4 Mn 3.31
Ba: 0.5000 0.5000 0.5000  4 Ni 3.08, 2 Ba 3.18, 4 Mn 3.31
Mn: 0.0000 0.5000 0.1955  2 Ni 2.56
Mn: 0.0000 0.5000 0.8045  2 Ni 2.56
Mn: 0.5000 0.0000 0.3045  2 Ni 2.56
Mn: 0.5000 0.0000 0.6955  2 Ni 2.56
Ni: 0.0000 0.0000 0.5000  4 Mn 2.56
Ni: 0.5000 0.5000 0.0000  4 Mn 2.56

[4]
PuNi3As | PBE | optimized geometry

Cell: 6.2645 6.2645 6.2645 Å, 130.75 88.03 112.44°
Closest atoms and distances in Å follow each position.
Element x y z (fractional)
Pu: 0.3387 0.0887 0.2500  6 Ni 2.75-3.06
Pu: 0.6613 0.9113 0.7500  6 Ni 2.75-3.06
Ni: 0.1600 0.0000 0.6600  2 As 2.32, 2 Ni 2.44
Ni: 0.1600 0.5000 0.1600  2 As 2.32, 2 Ni 2.44
Ni: 0.2125 0.4625 0.7500  2 As 2.27, 4 Ni 2.44
Ni: 0.7875 0.5375 0.2500  2 As 2.27, 4 Ni 2.44
Ni: 0.8400 0.0000 0.3400  2 As 2.32, 2 Ni 2.44
Ni: 0.8400 0.5000 0.8400  2 As 2.32, 2 Ni 2.44
As: 0.0000 0.5000 0.5000  6 Ni 2.27-2.32
As: 0.5000 0.5000 0.0000  6 Ni 2.27-2.32

[5]
CsHgBi2Pb | PBE | optimized geometry

Cell: 5.1910 5.2456 14.2355 Å, 90.00 90.00 90.00°
Closest atoms and distances in Å follow each position.
Element x y z (fractional)
Cs: 0.0000 0.0000 0.0000  4 Hg 4.01, 8 Bi 4.04-4.43, 4 Pb 4.40-4.43
Cs: 0.5000 0.5000 0.5000  4 Hg 4.01, 8 Bi 4.04-4.43, 4 Pb 4.40-4.43
Hg: 0.0000 0.0000 0.3893  3 Bi 3.21-3.28, 2 Pb 3.25
Hg: 0.5000 0.5000 0.8893  3 Bi 3.21-3.28, 2 Pb 3.25
Bi: 0.0000 0.0000 0.6149  1 Hg 3.21, 2 Bi 3.24, 2 Pb 3.27
Bi: 0.0000 0.5000 0.2506  2 Bi 3.24, 2 Hg 3.28
Bi: 0.5000 0.0000 0.7506  2 Bi 3.24, 2 Hg 3.28
Bi: 0.5000 0.5000 0.1149  1 Hg 3.21, 2 Bi 3.24, 2 Pb 3.27
Pb: 0.0000 0.5000 0.7518  2 Hg 3.25, 2 Bi 3.27
Pb: 0.5000 0.0000 0.2518  2 Hg 3.25, 2 Bi 3.27

[6]
PrY2Ho3S6 | PBE | optimized geometry

Cell: 6.8122 6.8122 6.8242 Å, 99.55 99.55 120.17°
Closest atoms and distances in Å follow each position.
Element x y z (fractional)
Pr: 0.0000 0.0000 0.0000  6 S 2.86-2.87
Y: 0.3341 0.6659 0.0000  6 S 2.77-2.80
Y: 0.6659 0.3341 0.0000  6 S 2.77-2.80
Ho: 0.1621 0.8379 0.5000  6 S 2.73-2.77
Ho: 0.5000 0.5000 0.5000  6 S 2.70-2.78
Ho: 0.8379 0.1621 0.5000  6 S 2.73-2.77
S: 0.0865 0.4300 0.2597  3 Ho 2.73-2.78, 2 Y 2.79-2.80, 1 Pr 2.87
S: 0.2575 0.2575 0.7435  3 Ho 2.70-2.75, 2 Y 2.77, 1 Pr 2.86
S: 0.4300 0.0865 0.2597  3 Ho 2.73-2.78, 2 Y 2.79-2.80, 1 Pr 2.87
S: 0.5700 0.9135 0.7403  3 Ho 2.73-2.78, 2 Y 2.79-2.80, 1 Pr 2.87
S: 0.7425 0.7425 0.2565  3 Ho 2.70-2.75, 2 Y 2.77, 1 Pr 2.86
S: 0.9135 0.5700 0.7403  3 Ho 2.73-2.78, 2 Y 2.79-2.80, 1 Pr 2.87

[7]
Li2UMn2S6 | PBE | optimized geometry

Cell: 5.7924 5.7924 6.5666 Å, 97.05 97.05 119.79°
Closest atoms and distances in Å follow each position.
Element x y z (fractional)
Li: 0.1665 0.8335 0.0000  6 S 2.54-2.66
Li: 0.8335 0.1665 0.0000  6 S 2.54-2.66
U: 0.0000 0.0000 0.5000  6 S 2.57-2.63
Mn: 0.3586 0.6414 0.5000  6 S 2.26-2.45
Mn: 0.6414 0.3586 0.5000  6 S 2.26-2.45
S: 0.0576 0.4329 0.7156  2 Mn 2.33-2.45, 1 Li 2.54, 1 U 2.57
S: 0.2951 0.2951 0.2533  2 Mn 2.26
S: 0.4329 0.0576 0.7156  2 Mn 2.33-2.45, 1 Li 2.54, 1 U 2.57
S: 0.5671 0.9424 0.2844  2 Mn 2.33-2.45, 1 Li 2.54, 1 U 2.57
S: 0.7049 0.7049 0.7467  2 Mn 2.26
S: 0.9424 0.5671 0.2844  2 Mn 2.33-2.45, 1 Li 2.54, 1 U 2.57

[8]
Te2Rh | PBE | optimized geometry

Cell: 6.0328 6.0328 6.0328 Å, 60.00 60.00 60.00°
Closest atoms and distances in Å follow each position.
Element x y z (fractional)
Te: 0.0000 0.0000 0.0000  6 Te 3.02
Te: 0.0000 0.0000 0.5000  6 Te 3.02
Te: 0.0000 0.5000 0.0000  6 Te 3.02
Te: 0.5000 0.0000 0.0000  6 Te 3.02
Rh: 0.3750 0.3750 0.3750  12 Te 3.54, 4 Rh 3.69
Rh: 0.6250 0.6250 0.6250  12 Te 3.54, 4 Rh 3.69

[9]
Pa2FeN | PBE | optimized geometry

Cell: 3.1814 3.1814 23.5653 Å, 90.00 90.00 120.00°
Closest atoms and distances in Å follow each position.
Element x y z (fractional)
Pa: 0.0000 0.0000 0.0997  1 Fe 2.35, 3 N 2.42
Pa: 0.0000 0.0000 0.9003  1 Fe 2.35, 3 N 2.42
Pa: 0.3333 0.6667 0.5669  1 Fe 2.35, 3 N 2.42
Pa: 0.3333 0.6667 0.7664  1 Fe 2.35, 3 N 2.42
Pa: 0.6667 0.3333 0.2336  1 Fe 2.35, 3 N 2.42
Pa: 0.6667 0.3333 0.4331  1 Fe 2.35, 3 N 2.42
Fe: 0.0000 0.0000 0.0000  2 Pa 2.35
Fe: 0.3333 0.6667 0.6667  2 Pa 2.35
Fe: 0.6667 0.3333 0.3333  2 Pa 2.35
N: 0.0000 0.0000 0.5000  6 Pa 2.42
N: 0.3333 0.6667 0.1667  6 Pa 2.42
N: 0.6667 0.3333 0.8333  6 Pa 2.42

[10]
Si2SnRhN | PBE | optimized geometry

Summary:
- distance to the lowest polymorph of the same formula (meV/atom) = 172

Cell: 15.9349 2.9147 3.8652 Å, 90.00 91.96 90.00°
Closest atoms and distances in Å follow each position.
Element x y z (fractional)
Si: 0.0000 0.0000 0.0000  2 N 1.73
Si: 0.1443 0.5000 0.4560  4 Rh 2.41-2.43
Si: 0.5000 0.5000 0.0000  2 N 1.73
Si: 0.6443 0.0000 0.4560  4 Rh 2.41-2.43
Sn: 0.3124 0.0000 0.2997  1 N 2.33
Sn: 0.8124 0.5000 0.2997  1 N 2.33
Rh: 0.1438 0.0000 0.9521  5 Si 2.31-2.43
Rh: 0.6438 0.5000 0.9521  5 Si 2.31-2.43
N: 0.4432 0.0000 0.0477  2 Si 1.73
N: 0.9432 0.5000 0.0477  2 Si 1.73

[11]
Ac7In2Ru2 | PBE | optimized geometry

Summary:
- distance to the lowest polymorph of the same formula (meV/atom) = 24

Cell: 10.0693 10.0693 10.0693 Å, 154.69 69.45 116.55°
Closest atoms and distances in Å follow each position.
Element x y z (fractional)
Ac: 0.0000 0.0000 0.0000  2 Ru 3.06
Ac: 0.0416 0.3685 0.6731  1 Ru 2.96
Ac: 0.1786 0.7946 0.3840  2 Ru 2.99
Ac: 0.4106 0.7946 0.6160  2 Ru 2.99
Ac: 0.5065 0.6069 0.8996  3 Ru 3.16-3.43, 1 Ac 3.32
Ac: 0.6955 0.3685 0.3269  1 Ru 2.96
Ac: 0.7074 0.6069 0.1004  3 Ru 3.16-3.43, 1 Ac 3.32
In: 0.3175 0.0860 0.2315  7 Ac 3.33-3.66
In: 0.8545 0.0860 0.7685  7 Ac 3.33-3.66
Ru: 0.3533 0.3533 0.0000  6 Ac 2.99-3.16
Ru: 0.7992 0.2992 0.5000  4 Ac 2.96-3.06

[12]
LaYIrRu | PBE | optimized geometry

Cell: 7.0020 7.0020 7.0020 Å, 90.00 90.00 90.00°
Closest atoms and distances in Å follow each position.
Element x y z (fractional)
La: 0.0000 0.0000 0.0000  4 Ru 3.03, 4 Ir 3.03
La: 0.0000 0.5000 0.5000  4 Ru 3.03, 4 Ir 3.03
La: 0.5000 0.0000 0.5000  4 Ru 3.03, 4 Ir 3.03
La: 0.5000 0.5000 0.0000  4 Ru 3.03, 4 Ir 3.03
Y: 0.0000 0.0000 0.5000  4 Ir 3.03, 4 Ru 3.03
Y: 0.0000 0.5000 0.0000  4 Ir 3.03, 4 Ru 3.03
Y: 0.5000 0.0000 0.0000  4 Ir 3.03, 4 Ru 3.03
Y: 0.5000 0.5000 0.5000  4 Ir 3.03, 4 Ru 3.03
Ir: 0.2500 0.2500 0.7500  4 La 3.03, 4 Y 3.03
Ir: 0.2500 0.7500 0.2500  4 La 3.03, 4 Y 3.03
Ir: 0.7500 0.2500 0.2500  4 La 3.03, 4 Y 3.03
Ir: 0.7500 0.7500 0.7500  4 La 3.03, 4 Y 3.03
Ru: 0.2500 0.2500 0.2500  4 La 3.03, 4 Y 3.03
Ru: 0.2500 0.7500 0.7500  4 La 3.03, 4 Y 3.03
Ru: 0.7500 0.2500 0.7500  4 La 3.03, 4 Y 3.03
Ru: 0.7500 0.7500 0.2500  4 La 3.03, 4 Y 3.03

no.,DOS(E_F) (states/eV per atom),E_tot (eV/atom)
1,1.05,-8.3237
2,0.58,-3.6461
3,0.86,-5.8877
4,2.57,-7.4851
5,0.44,-2.6877
6,0.42,-6.6737
7,0.17,-6.2406
8,1.58,-3.3526
9,0.87,-9.2968
10,0.32,-6.3087
11,0.94,-4.9740
12,0.63,-7.8002